TaBeRh2 | GGA-PBE | relaxed

```
TaBeRh2
1.0
0.000 3.051 3.051
3.051 0.000 3.051
3.051 3.051 0.000
Ta Be Rh
1 1 2
Cartesian
0.000 0.000 0.000
4.576 4.576 4.576
1.525 1.525 1.525
3.051 3.051 3.051
```

Output
energy relative to the elements: -42 meV per atom
E_tot: -7.6122 eV per atom